VASP calculation (PBE) on a relaxed structure of Er3Pu.

abc: 6.0162 6.0162 6.0162
angles: 131.93 131.93 70.33
Positions (direct):
Er (0.0000, 0.0000, 0.0000)
Er (0.2500, 0.7500, 0.5000)
Er (0.7500, 0.2500, 0.5000)
Pu (0.5000, 0.5000, 0.0000)

Properties
The calculated formation energy comes out at 112 meV per atom. The distance to the lowest polymorph of the same formula is 40.3 meV/atom. The value obtained for the total energy is -6.89 eV per atom. The volume comes out at 29.53 A^3/atom.